No. 1
Computed, not measured: Cs2P4Pd3O14 after structural relaxation at the PBE level of DFT.

Cell: 7.995 7.995 13.928 Å, 90.00 90.00 123.20°
Element x y z (fractional)
Cs 0.289 0.711 0.171
Cs 0.565 0.435 0.419
Cs 0.711 0.289 0.671
Cs 0.435 0.565 0.919
O 0.433 0.181 0.002
O 0.819 0.567 0.002
O 0.012 0.394 0.005
O 0.606 0.988 0.005
O 0.159 0.256 0.128
O 0.744 0.841 0.128
O 0.075 0.925 0.198
O 0.424 0.216 0.209
O 0.784 0.576 0.209
O 0.170 0.216 0.311
O 0.784 0.830 0.311
O 0.598 0.043 0.362
O 0.957 0.402 0.362
O 0.276 0.724 0.388
O 0.181 0.433 0.502
O 0.567 0.819 0.502
O 0.394 0.012 0.505
O 0.988 0.606 0.505
O 0.256 0.159 0.628
O 0.841 0.744 0.628
O 0.925 0.075 0.698
O 0.216 0.424 0.709
O 0.576 0.784 0.709
O 0.216 0.170 0.811
O 0.830 0.784 0.811
O 0.043 0.598 0.862
O 0.402 0.957 0.862
O 0.724 0.276 0.888
P 0.211 0.166 0.211
P 0.834 0.789 0.211
P 0.093 0.531 0.444
P 0.469 0.907 0.444
P 0.166 0.211 0.711
P 0.789 0.834 0.711
P 0.531 0.093 0.944
P 0.907 0.469 0.944
Pd 0.878 0.122 0.070
Pd 0.617 0.383 0.103
Pd 0.880 0.120 0.336
Pd 0.122 0.878 0.570
Pd 0.383 0.617 0.603
Pd 0.120 0.880 0.836

Output
The raw total energy comes out at -6.458 eV per atom.

No. 2
Computed, not measured: Ba2AgIr after structural relaxation at the PBE level of DFT.

Cell: 4.772 6.251 8.513 Å, 90.00 90.00 90.00°
Element x y z (fractional)
Ag 0.000 0.632 0.474
Ag 0.000 0.368 0.974
Ba 0.500 0.653 0.178
Ba 0.000 0.115 0.316
Ba 0.500 0.347 0.678
Ba 0.000 0.885 0.816
Ir 0.500 0.146 0.032
Ir 0.500 0.854 0.532

Output
The value obtained for the distance to the lowest polymorph of the same formula is 0.119 eV/atom. As for the size of the total moment: 0.0 μB per cell.

No. 3
Computed, not measured: NaCoCuS3 after structural relaxation at the PBE level of DFT.

Cell: 7.028 3.461 8.857 Å, 90.00 110.23 90.00°
Element x y z (fractional)
Co 0.320 0.750 0.352
Co 0.680 0.250 0.648
Cu 0.071 0.250 0.109
Cu 0.929 0.750 0.891
Na 0.741 0.750 0.216
Na 0.259 0.250 0.784
S 0.265 0.750 0.069
S 0.111 0.250 0.369
S 0.542 0.250 0.379
S 0.458 0.750 0.621
S 0.889 0.750 0.631
S 0.735 0.250 0.931

Output
The value obtained for the distance to the lowest polymorph of the same formula is 0.000 eV/atom. As for the size of the total moment: 0.0 μB per cell.

No. 4
Computed, not measured: HoPuRe after structural relaxation at the PBE level of DFT.

Cell: 4.745 4.745 4.745 Å, 60.00 60.00 60.00°
Element x y z (fractional)
Ho 0.000 0.000 0.000
Pu 0.500 0.500 0.500
Re 0.250 0.250 0.250

Output
The formation energy comes out at 0.306 eV/atom. The value obtained for the distance to the lowest polymorph of the same formula is 0.000 eV/atom. As for the size of the total moment: 4.6 μB per cell.

No. 5
Computed, not measured: RbLaBAu after structural relaxation at the PBE level of DFT.

Cell: 5.254 5.254 5.254 Å, 60.00 60.00 60.00°
Element x y z (fractional)
Au 0.750 0.750 0.750
B 0.250 0.250 0.250
La 0.000 0.000 0.000
Rb 0.500 0.500 0.500

Output
The value obtained for the distance to the lowest polymorph of the same formula is 0.000 eV/atom. As for the size of the total moment: 0.6 μB per cell.

No. 6
Computed, not measured: BaLiZrAu after structural relaxation at the PBE level of DFT.

Cell: 5.150 5.150 5.150 Å, 60.00 60.00 60.00°
Element x y z (fractional)
Au 0.750 0.750 0.750
Ba 0.000 0.000 0.000
Li 0.500 0.500 0.500
Zr 0.250 0.250 0.250

Output
The value obtained for the distance to the lowest polymorph of the same formula is 0.271 eV/atom. As for the size of the total moment: 0.0 μB per cell.

No. 7
Computed, not measured: HoMg after structural relaxation at the PBE level of DFT.

Cell: 3.370 3.370 5.617 Å, 90.00 90.00 120.00°
Element x y z (fractional)
Ho 0.000 0.000 0.000
Mg 0.667 0.333 0.500

Output
The raw total energy comes out at -2.987 eV per atom. As for the size of the total moment: 0.0 μB per cell.

No. 8
Computed, not measured: In2Cu7 after structural relaxation at the PBE level of DFT.

Cell: 2.790 2.792 27.604 Å, 89.98 89.99 60.03°
Element x y z (fractional)
Cu 0.000 0.000 0.291
Cu 0.333 0.333 0.361
Cu 0.667 0.667 0.431
Cu 0.000 0.000 0.500
Cu 0.333 0.333 0.569
Cu 0.667 0.667 0.639
Cu 0.000 0.000 0.709
In 0.667 0.667 0.204
In 0.333 0.333 0.796

Output
The raw total energy comes out at -3.255 eV per atom.